No. 1
An optimized crystal structure of LiLuCdBi, computed with PBE.

Summary:
Final energy = -3.112 eV/atom
Space-group type = F-43m (216)
Size of the total moment = 0.001 μB per formula unit
Calculated volume = 24.6 Å³/atom
ΔH_f (0 K) = -0.304 eV per atom

abc: 7.3276 7.3276 7.3276
angles: 90.00 90.00 90.00
Positions (direct):
Li 0.0000 0.0000 0.0000
Li 0.0000 0.5000 0.5000
Li 0.5000 0.0000 0.5000
Li 0.5000 0.5000 0.0000
Lu 0.0000 0.0000 0.5000
Lu 0.0000 0.5000 0.0000
Lu 0.5000 0.0000 0.0000
Lu 0.5000 0.5000 0.5000
Cd 0.2500 0.2500 0.7500
Cd 0.2500 0.7500 0.2500
Cd 0.7500 0.2500 0.2500
Cd 0.7500 0.7500 0.7500
Bi 0.2500 0.2500 0.2500
Bi 0.2500 0.7500 0.7500
Bi 0.7500 0.2500 0.7500
Bi 0.7500 0.7500 0.2500

***

No. 2
An optimized crystal structure of Zn12Bi3Sb5, computed with PBE.

Summary:
Final energy = -2.251 eV/atom
Space-group type = Ia-3d (230)
Size of the total moment = 0.000 μB per formula unit
ΔE_f (raw) = 0.126 eV/atom
Calculated volume = 26.4 Å³/atom

abc: 13.9974 13.9974 13.9974
angles: 109.47 109.47 109.47
Positions (direct):
Zn 0.0554 0.2273 0.1333
Zn 0.0554 0.3281 0.9221
Zn 0.0779 0.6333 0.4060
Zn 0.0779 0.9446 0.6719
Zn 0.0940 0.7273 0.6719
Zn 0.0940 0.8667 0.4221
Zn 0.1333 0.0554 0.2273
Zn 0.1333 0.5779 0.9060
Zn 0.1719 0.2273 0.5940
Zn 0.1719 0.4446 0.5779
Zn 0.2273 0.1333 0.0554
Zn 0.2273 0.5940 0.1719
Zn 0.2727 0.3281 0.9060
Zn 0.2727 0.4446 0.3667
Zn 0.3281 0.9060 0.2727
Zn 0.3281 0.9221 0.0554
Zn 0.3667 0.2727 0.4446
Zn 0.3667 0.5940 0.9221
Zn 0.4060 0.0779 0.6333
Zn 0.4060 0.8281 0.7727
Zn 0.4221 0.0940 0.8667
Zn 0.4221 0.8281 0.5554
Zn 0.4446 0.3667 0.2727
Zn 0.4446 0.5779 0.1719
Zn 0.5554 0.4221 0.8281
Zn 0.5554 0.6333 0.7273
Zn 0.5779 0.1719 0.4446
Zn 0.5779 0.9060 0.1333
Zn 0.5940 0.1719 0.2273
Zn 0.5940 0.9221 0.3667
Zn 0.6333 0.4060 0.0779
Zn 0.6333 0.7273 0.5554
Zn 0.6719 0.0779 0.9446
Zn 0.6719 0.0940 0.7273
Zn 0.7273 0.5554 0.6333
Zn 0.7273 0.6719 0.0940
Zn 0.7727 0.4060 0.8281
Zn 0.7727 0.8667 0.9446
Zn 0.8281 0.5554 0.4221
Zn 0.8281 0.7727 0.4060
Zn 0.8667 0.4221 0.0940
Zn 0.8667 0.9446 0.7727
Zn 0.9060 0.1333 0.5779
Zn 0.9060 0.2727 0.3281
Zn 0.9221 0.0554 0.3281
Zn 0.9221 0.3667 0.5940
Zn 0.9446 0.6719 0.0779
Zn 0.9446 0.7727 0.8667
Bi 0.1250 0.2500 0.3750
Bi 0.1250 0.3750 0.7500
Bi 0.2500 0.3750 0.1250
Bi 0.2500 0.8750 0.6250
Bi 0.3750 0.1250 0.2500
Bi 0.3750 0.7500 0.1250
Bi 0.6250 0.2500 0.8750
Bi 0.6250 0.8750 0.7500
Bi 0.7500 0.1250 0.3750
Bi 0.7500 0.6250 0.8750
Bi 0.8750 0.6250 0.2500
Bi 0.8750 0.7500 0.6250
Sb 0.0000 0.0000 0.0000
Sb 0.0000 0.0000 0.5000
Sb 0.0000 0.5000 0.0000
Sb 0.0000 0.5000 0.5000
Sb 0.1250 0.7500 0.8750
Sb 0.1250 0.8750 0.2500
Sb 0.2500 0.1250 0.8750
Sb 0.2500 0.6250 0.3750
Sb 0.3750 0.2500 0.6250
Sb 0.3750 0.6250 0.7500
Sb 0.5000 0.0000 0.0000
Sb 0.5000 0.0000 0.5000
Sb 0.5000 0.5000 0.0000
Sb 0.5000 0.5000 0.5000
Sb 0.6250 0.3750 0.2500
Sb 0.6250 0.7500 0.3750
Sb 0.7500 0.3750 0.6250
Sb 0.7500 0.8750 0.1250
Sb 0.8750 0.1250 0.7500
Sb 0.8750 0.2500 0.1250

***

Question: Which of these has the highest final energy?
Answer: Zn12Bi3Sb5